[1]
# Sc2NiTeC | Alexandria via LeMat-Bulk | GGA-PBE | optimized geometry
# Volume (Å³/cell): 83
# Formation energy (no corrections) (meV/atom): -589
# Crystal system: tetragonal
data_Sc2NiTeC
_chemical_formula_sum 'Sc2 Ni1 Te1 C1'
_symmetry_space_group_name_H-M 'P 4/m m m'
_symmetry_Int_Tables_number 123
_symmetry_space_group_name_Hall '-P 4 2'
_cell_length_a 4.702
_cell_length_b 4.702
_cell_length_c 3.777
_cell_angle_alpha 90.00
_cell_angle_beta 90.00
_cell_angle_gamma 90.00
loop_
_atom_site_label
_atom_site_fract_x
_atom_site_fract_y
_atom_site_fract_z
Sc1 0.000 0.500 0.000
Ni1 0.000 0.000 0.500
Te1 0.500 0.500 0.500
C1 0.000 0.000 0.000

***

[2]
# Ni2CSe | Alexandria via LeMat-Bulk | GGA-PBE | optimized geometry
# Volume (Å³/cell): 182
# Formation energy (no corrections) (meV/atom): 1009
# Crystal system: cubic
# E above lowest polymorph (kJ per mole of atoms): 65.1
data_Ni2CSe
_chemical_formula_sum 'Ni8 C4 Se4'
_symmetry_space_group_name_H-M 'F m -3 m'
_symmetry_Int_Tables_number 225
_symmetry_space_group_name_Hall '-F 4 2 3'
_cell_length_a 5.665
_cell_length_b 5.665
_cell_length_c 5.665
_cell_angle_alpha 90.00
_cell_angle_beta 90.00
_cell_angle_gamma 90.00
loop_
_atom_site_label
_atom_site_fract_x
_atom_site_fract_y
_atom_site_fract_z
Ni1 0.250 0.250 0.250
C1 0.000 0.000 0.000
Se1 0.000 0.000 0.500